(1)
# La4SiGeBr2 (GGA-PBE, relaxed)
data_La4SiGeBr2
_cell_length_a 7.628
_cell_length_b 4.412
_cell_length_c 7.759
_cell_angle_alpha 90.00
_cell_angle_beta 109.19
_cell_angle_gamma 90.00
_symmetry_space_group_name_H-M 'P 1 2/m 1'
_symmetry_Int_Tables_number 10
_symmetry_space_group_name_Hall '-P 2y'
loop_
_atom_site_label
_atom_site_type_symbol
_atom_site_fract_x
_atom_site_fract_y
_atom_site_fract_z
_atom_site_occupancy
La1 La 0.237 0.000 0.218 1
La2 La 0.258 0.500 0.781 1
Si1 Si 0.000 0.500 0.000 1
Ge1 Ge 0.500 0.000 0.000 1
Br1 Br 0.000 0.000 0.500 1
Br2 Br 0.500 0.500 0.500 1
# Density: 5.5 g cm⁻³
# ΔE_f (raw): -1192 meV/atom
# Crystal system: monoclinic
# Raw total energy: -42.63 eV per cell
# Size of the total moment: 0.00 μB per formula unit

---

(2)
# La6SiGe2Br3 (GGA-PBE, relaxed)
data_La6SiGe2Br3
_cell_length_a 19.395
_cell_length_b 4.417
_cell_length_c 8.901
_cell_angle_alpha 90.00
_cell_angle_beta 104.00
_cell_angle_gamma 90.00
_symmetry_space_group_name_H-M 'C 1 2/m 1'
_symmetry_Int_Tables_number 12
_symmetry_space_group_name_Hall '-C 2y'
loop_
_atom_site_label
_atom_site_type_symbol
_atom_site_fract_x
_atom_site_fract_y
_atom_site_fract_z
_atom_site_occupancy
La1 La 0.006 0.000 0.230 1
La2 La 0.158 0.500 0.097 1
La3 La 0.173 0.500 0.566 1
Si1 Si 0.000 0.500 0.000 1
Ge1 Ge 0.167 0.000 0.333 1
Br1 Br 0.000 0.500 0.500 1
Br2 Br 0.167 0.000 0.833 1
# Density: 5.6 g cm⁻³
# ΔE_f (raw): -1207 meV/atom
# Crystal system: monoclinic
# Raw total energy: -127.45 eV per cell
# Size of the total moment: 0.00 μB per formula unit

---

(3)
# LaSiGe2Br (GGA-PBE, relaxed)
data_LaSiGe2Br
_cell_length_a 5.815
_cell_length_b 5.815
_cell_length_c 5.600
_cell_angle_alpha 90.00
_cell_angle_beta 90.00
_cell_angle_gamma 90.00
_symmetry_space_group_name_H-M 'P 4/m m m'
_symmetry_Int_Tables_number 123
_symmetry_space_group_name_Hall '-P 4 2'
loop_
_atom_site_label
_atom_site_type_symbol
_atom_site_fract_x
_atom_site_fract_y
_atom_site_fract_z
_atom_site_occupancy
La1 La 0.000 0.000 0.000 1
Si1 Si 0.000 0.000 0.500 1
Ge1 Ge 0.000 0.500 0.000 1
Br1 Br 0.500 0.500 0.500 1
# Density: 3.4 g cm⁻³
# ΔE_f (raw): 990 meV/atom
# Crystal system: tetragonal
# Raw total energy: -16.31 eV per cell
# Size of the total moment: 0.00 μB per formula unit

---

> Which value of raw total energy does entry 3 give?

-16.31 eV per cell

---

What did the second record say?
# La6SiGe2Br3 (GGA-PBE, relaxed)
data_La6SiGe2Br3
_cell_length_a 19.395
_cell_length_b 4.417
_cell_length_c 8.901
_cell_angle_alpha 90.00
_cell_angle_beta 104.00
_cell_angle_gamma 90.00
_symmetry_space_group_name_H-M 'C 1 2/m 1'
_symmetry_Int_Tables_number 12
_symmetry_space_group_name_Hall '-C 2y'
loop_
_atom_site_label
_atom_site_type_symbol
_atom_site_fract_x
_atom_site_fract_y
_atom_site_fract_z
_atom_site_occupancy
La1 La 0.006 0.000 0.230 1
La2 La 0.158 0.500 0.097 1
La3 La 0.173 0.500 0.566 1
Si1 Si 0.000 0.500 0.000 1
Ge1 Ge 0.167 0.000 0.333 1
Br1 Br 0.000 0.500 0.500 1
Br2 Br 0.167 0.000 0.833 1
# Density: 5.6 g cm⁻³
# ΔE_f (raw): -1207 meV/atom
# Crystal system: monoclinic
# Raw total energy: -127.45 eV per cell
# Size of the total moment: 0.00 μB per formula unit